1.
Computed, not measured: TlAgBi3 at its PBEsol-relaxed geometry at the meta-GGA SCAN level of DFT.

- DFT total energy: -67.42 eV per atom
- Crystal system: cubic
- ΔE_f: 477 meV per atom

abc: 5.503 5.503 5.503
angles: 90.00 90.00 90.00
Space group Pm-3m (No. 221)
Asymmetric unit:
Tl 0.000 0.000 0.000 [1 per cell]
Ag 0.500 0.500 0.500 [1 per cell]
Bi 0.000 0.500 0.500 [3 per cell]


2.
Computed, not measured: Fe3Co at its PBEsol-relaxed geometry at the meta-GGA SCAN level of DFT.

- DFT total energy: -18.01 eV per atom
- Crystal system: monoclinic
- ΔE_f: -89 meV per atom

abc: 2.419 3.949 9.164
angles: 90.00 94.92 90.00
Space group P2_1/m (No. 11)
Asymmetric unit:
Fe 0.054 0.250 0.188 [2 per cell]
Fe 0.313 0.250 0.936 [2 per cell]
Fe 0.435 0.750 0.315 [2 per cell]
Co 0.198 0.750 0.564 [2 per cell]


3.
Computed, not measured: CaCu2Ni at its PBEsol-relaxed geometry at the meta-GGA SCAN level of DFT.

- DFT total energy: -14.13 eV per atom
- Crystal system: trigonal
- Excess energy over the best structure of this formula in the dataset: 0.0 meV/atom
- ΔE_f: -70 meV per atom

abc: 4.0688 4.0688 14.1994
angles: 90.00 90.00 120.00
Space group R3m (No. 160, hexagonal axes)
Asymmetric unit:
Ca 0.0000 0.0000 0.0000 [3 per cell]
Cu 0.0000 0.0000 0.1927 [3 per cell]
Cu 0.0000 0.0000 0.4957 [3 per cell]
Ni 0.0000 0.0000 0.8093 [3 per cell]


Magnetic moment values (in μB/f.u.) by entry order: 0.00; 9.61; 0.00.